Computed, not measured: a geometry-optimized PaTeICl structure at the PBE level of DFT.

Lattice parameters (Å, degrees): 3.869 4.776 9.234 104.95 102.09 90.00
Fractional coordinates of all 4 atoms:
Cl 0.522 0.480 0.044
Pa 0.905 0.363 0.810
I 0.736 0.195 0.472
Te 0.372 0.830 0.744

Computed properties:
Mass density (g/cm³): 5.4
DOS at the Fermi energy (states/eV/cell): 1.6
M_tot (Bohr magnetons per cell): 0.91
E_tot (eV per atom): -5.065